# 1
Sr2In6GaPd | GGA-PBE | optimized geometry

Output
symmetry	R-3m

a b c (Å): 7.2587 7.2587 13.0988
angles (deg): 73.91 73.91 60.00
With the nearest neighbours (Å) after each atom.
Element x y z (fractional)
Sr 0.8952 0.8952 0.3143  12 In 3.62-3.90, 1 Pd 3.90
Sr 0.1048 0.1048 0.6857  12 In 3.62-3.90, 1 Pd 3.90
Sr 0.7186 0.7186 0.8443  12 In 3.53-3.72
Sr 0.2814 0.2814 0.1557  12 In 3.53-3.72
In 0.9242 0.3359 0.4040  1 Pd 2.74, 1 Ga 2.89, 2 In 2.99
In 0.3359 0.9242 0.4040  1 Pd 2.74, 1 Ga 2.89, 2 In 2.99
In 0.3359 0.3359 0.4040  1 Pd 2.74, 1 Ga 2.89, 2 In 2.99
In 0.0758 0.6641 0.5960  1 Pd 2.74, 1 Ga 2.89, 2 In 2.99
In 0.6641 0.0758 0.5960  1 Pd 2.74, 1 Ga 2.89, 2 In 2.99
In 0.6641 0.6641 0.5960  1 Pd 2.74, 1 Ga 2.89, 2 In 2.99
In 0.6484 0.2241 0.9034  1 Pd 2.69, 1 Ga 2.91
In 0.2241 0.6484 0.9034  1 Pd 2.69, 1 Ga 2.91
In 0.2241 0.2241 0.9034  1 Pd 2.69, 1 Ga 2.91
In 0.3516 0.7759 0.0966  1 Pd 2.69, 1 Ga 2.91
In 0.7759 0.3516 0.0966  1 Pd 2.69, 1 Ga 2.91
In 0.7759 0.7759 0.0966  1 Pd 2.69, 1 Ga 2.91
Ga 0.5727 0.5727 0.2819  1 Pd 2.71, 6 In 2.89-2.91
Ga 0.4273 0.4273 0.7181  1 Pd 2.71, 6 In 2.89-2.91
Pd 0.0000 0.0000 0.0000  6 In 2.69
Pd 0.5000 0.5000 0.5000  2 Ga 2.71, 6 In 2.74


# 2
Sr2InGaPd6 | GGA-PBE | optimized geometry

Output
symmetry	P-1

a b c (Å): 6.9418 6.9508 6.9457
angles (deg): 59.94 59.98 90.07
With the nearest neighbours (Å) after each atom.
Element x y z (fractional)
Sr 0.7501 0.2501 0.4998  12 Pd 3.47-3.48
Sr 0.2499 0.7499 0.5002  12 Pd 3.47-3.48
In 0.5000 0.5000 0.0000  6 Pd 2.55-2.56
Ga 0.0000 0.0000 0.0000  6 Pd 2.35-2.36
Pd 0.2400 0.2400 0.5200  1 Ga 2.35, 1 In 2.55
Pd 0.7602 0.7598 0.0000  1 Ga 2.36, 1 In 2.55
Pd 0.2400 0.7601 0.0000  1 Ga 2.36, 1 In 2.56
Pd 0.7600 0.2399 0.0000  1 Ga 2.36, 1 In 2.56
Pd 0.2398 0.2402 0.0000  1 Ga 2.36, 1 In 2.55
Pd 0.7600 0.7600 0.4800  1 Ga 2.35, 1 In 2.55


# 3
SrInGa2Pd | GGA-PBE | optimized geometry

Output
symmetry	P4/mmm

a b c (Å): 4.9359 4.9359 5.2280
angles (deg): 90.00 90.00 90.00
With the nearest neighbours (Å) after each atom.
Element x y z (fractional)
Sr 0.5000 0.5000 0.5000  4 In 3.49, 8 Ga 3.59
Ga 0.0000 0.5000 0.0000  2 Pd 2.47
Ga 0.5000 0.0000 0.0000  2 Pd 2.47
Pd 0.0000 0.0000 0.0000  4 Ga 2.47, 2 In 2.61
In 0.0000 0.0000 0.5000  2 Pd 2.61


In eV per atom, the formation energy from the elements values for the records above are, in order, -0.286 -0.293 -0.308.
In μB/f.u., the total magnetic moment values for the records above are, in order, 0.00 0.00 0.00.